No. 1
Material: PIr
Method: DFT, GGA-PBEsol
State: relaxed

```
data_PIr
_cell_length_a 2.8134
_cell_length_b 4.3269
_cell_length_c 8.9679
_cell_angle_alpha 90.00
_cell_angle_beta 90.00
_cell_angle_gamma 90.00
_symmetry_space_group_name_H-M 'I m m a'
_symmetry_Int_Tables_number 74
_symmetry_space_group_name_Hall '-I 2b 2'
loop_
_atom_site_label
_atom_site_fract_x
_atom_site_fract_y
_atom_site_fract_z
P1 0.0000 0.2500 0.1184
Ir1 0.0000 0.2500 0.6064
```

D(E_F)   5.1 states/eV per cell
Mass density   13.58 g/cm³
Calculated volume   13.646 Å³/atom
Calculated formation energy   0.084 eV per atom
Crystal system   orthorhombic
Total DFT energy (no corrections)   -61.8 eV/cell

***

No. 2
Material: P3Ir
Method: DFT, GGA-PBEsol
State: relaxed

```
data_P3Ir
_cell_length_a 3.5323
_cell_length_b 3.5495
_cell_length_c 4.9017
_cell_angle_alpha 90.00
_cell_angle_beta 90.00
_cell_angle_gamma 90.00
_symmetry_space_group_name_H-M 'P m m 2'
_symmetry_Int_Tables_number 25
_symmetry_space_group_name_Hall 'P 2 -2'
loop_
_atom_site_label
_atom_site_fract_x
_atom_site_fract_y
_atom_site_fract_z
P1 0.0000 0.0000 0.0000
P2 0.0000 0.5000 0.3416
P3 0.5000 0.5000 0.6836
Ir1 0.5000 0.0000 0.3421
```

D(E_F)   2.0 states/eV per cell
Mass density   7.70 g/cm³
Calculated volume   15.365 Å³/atom
Calculated formation energy   0.225 eV per atom
Crystal system   orthorhombic
Total DFT energy (no corrections)   -26.3 eV/cell
Offset from the most stable computed form   0.9171 eV per atom